A relaxed LiHfTl crystal. Source: the Alexandria database, functional PBE-GGA.

Computed properties:
Excess energy over the best structure of this formula in the dataset ... 55 meV/atom
ΔH_f (0 K) ... -0.057 eV/atom

Cell: 3.267 8.664 4.414 Å, 90.00 90.00 90.00°
Atoms (fractional coordinates):
Tl  0.000  0.735  0.000
Tl  0.500  0.265  0.500
Hf  0.000  0.093  0.000
Hf  0.500  0.907  0.500
Li  0.000  0.546  0.500
Li  0.500  0.454  0.000



A relaxed LiHfTl crystal. Source: the Alexandria database, functional PBE-GGA.

Computed properties:
Excess energy over the best structure of this formula in the dataset ... 389 meV/atom
ΔH_f (0 K) ... 0.278 eV/atom

Cell: 8.064 6.079 4.805 Å, 90.00 90.00 90.00°
Atoms (fractional coordinates):
Tl  0.000  0.000  0.000
Tl  0.500  0.500  0.500
Tl  0.500  0.000  0.500
Tl  0.000  0.500  0.000
Hf  0.342  0.250  0.000
Hf  0.158  0.750  0.500
Hf  0.658  0.750  0.000
Hf  0.842  0.250  0.500
Li  0.678  0.250  0.000
Li  0.822  0.750  0.500
Li  0.322  0.750  0.000
Li  0.178  0.250  0.500



A relaxed LiHfTl crystal. Source: the Alexandria database, functional PBE-GGA.

Computed properties:
Excess energy over the best structure of this formula in the dataset ... 97 meV/atom
ΔH_f (0 K) ... -0.014 eV/atom

Cell: 5.135 7.896 7.896 Å, 156.24 90.00 90.00°
Atoms (fractional coordinates):
Tl  0.000  0.995  0.005
Tl  0.500  0.780  0.220
Hf  0.500  0.114  0.886
Hf  0.500  0.453  0.547
Li  0.000  0.648  0.352
Li  0.000  0.313  0.687



A relaxed Li2HfTl2 crystal. Source: the Alexandria database, functional PBE-GGA.

Computed properties:
Excess energy over the best structure of this formula in the dataset ... 0 meV/atom
ΔH_f (0 K) ... -0.001 eV/atom

Cell: 8.000 8.000 3.064 Å, 90.00 90.00 90.00°
Atoms (fractional coordinates):
Tl  0.185  0.685  0.500
Tl  0.685  0.815  0.500
Tl  0.815  0.315  0.500
Tl  0.315  0.185  0.500
Hf  0.000  0.000  0.000
Hf  0.500  0.500  0.000
Li  0.385  0.885  0.000
Li  0.885  0.615  0.000
Li  0.615  0.115  0.000
Li  0.115  0.385  0.000



A relaxed LiHfTl3 crystal. Source: the Alexandria database, functional PBE-GGA.

Computed properties:
Excess energy over the best structure of this formula in the dataset ... 0 meV/atom
ΔH_f (0 K) ... 0.458 eV/atom

Cell: 5.644 5.644 5.644 Å, 90.00 90.00 90.00°
Atoms (fractional coordinates):
Tl  0.000  0.500  0.000
Tl  0.000  0.000  0.500
Tl  0.500  0.000  0.000
Hf  0.000  0.000  0.000
Li  0.500  0.500  0.500



A relaxed LiHfTl crystal. Source: the Alexandria database, functional PBE-GGA.

Computed properties:
Excess energy over the best structure of this formula in the dataset ... 212 meV/atom
ΔH_f (0 K) ... 0.100 eV/atom

Cell: 3.056 4.977 8.785 Å, 90.00 99.67 90.00°
Atoms (fractional coordinates):
Tl  0.208  0.000  0.836
Tl  0.980  0.000  0.448
Hf  0.765  0.500  0.004
Hf  0.420  0.500  0.307
Li  0.060  0.500  0.651
Li  0.292  0.000  0.148